# PBE CuSnPb, optimized geometry
data_CuSnPb
_cell_length_a 6.642
_cell_length_b 6.642
_cell_length_c 6.642
_cell_angle_alpha 90.00
_cell_angle_beta 90.00
_cell_angle_gamma 90.00
_symmetry_space_group_name_H-M 'F -4 3 m'
_symmetry_Int_Tables_number 216
_symmetry_space_group_name_Hall 'F -4 2 3'
loop_
_atom_site_label
_atom_site_type_symbol
_atom_site_fract_x
_atom_site_fract_y
_atom_site_fract_z
Cu1 Cu 0.000 0.000 0.000
Sn1 Sn 0.250 0.250 0.250
Pb1 Pb 0.250 0.250 0.750
# uncorrected energy: -44.44 eV for the cell shown

=====

# PBE Cu2SnPb, optimized geometry
data_Cu2SnPb
_cell_length_a 6.841
_cell_length_b 6.841
_cell_length_c 6.841
_cell_angle_alpha 90.00
_cell_angle_beta 90.00
_cell_angle_gamma 90.00
_symmetry_space_group_name_H-M 'P m -3 m'
_symmetry_Int_Tables_number 221
_symmetry_space_group_name_Hall '-P 4 2 3'
loop_
_atom_site_label
_atom_site_type_symbol
_atom_site_fract_x
_atom_site_fract_y
_atom_site_fract_z
Cu1 Cu 0.230 0.230 0.230
Sn1 Sn 0.000 0.000 0.000
Sn2 Sn 0.000 0.000 0.500
Pb1 Pb 0.000 0.500 0.500
Pb2 Pb 0.500 0.500 0.500
# uncorrected energy: -56.95 eV for the cell shown

=====

# PBE CuSnPb2, optimized geometry
data_CuSnPb2
_cell_length_a 7.472
_cell_length_b 7.472
_cell_length_c 7.472
_cell_angle_alpha 90.00
_cell_angle_beta 90.00
_cell_angle_gamma 90.00
_symmetry_space_group_name_H-M 'F -4 3 m'
_symmetry_Int_Tables_number 216
_symmetry_space_group_name_Hall 'F -4 2 3'
loop_
_atom_site_label
_atom_site_type_symbol
_atom_site_fract_x
_atom_site_fract_y
_atom_site_fract_z
Cu1 Cu 0.000 0.000 0.000
Sn1 Sn 0.250 0.250 0.750
Pb1 Pb 0.000 0.000 0.500
Pb2 Pb 0.250 0.250 0.250
# uncorrected energy: -55.77 eV for the cell shown

=====

# PBE Y2Cu2SnPb, optimized geometry
data_Y2Cu2SnPb
_cell_length_a 11.300
_cell_length_b 4.611
_cell_length_c 11.302
_cell_angle_alpha 90.00
_cell_angle_beta 109.48
_cell_angle_gamma 90.00
_symmetry_space_group_name_H-M 'P 1 m 1'
_symmetry_Int_Tables_number 6
loop_
_symmetry_equiv_pos_as_xyz
'x,y,z'
'x,-y,z'
loop_
_atom_site_label
_atom_site_type_symbol
_atom_site_fract_x
_atom_site_fract_y
_atom_site_fract_z
Y1 Y 0.000 0.000 0.000
Y2 Y 0.122 0.500 0.375
Y3 Y 0.246 0.000 0.748
Y4 Y 0.375 0.500 0.128
Y5 Y 0.499 0.000 0.501
Y6 Y 0.624 0.500 0.873
Y7 Y 0.748 0.000 0.251
Y8 Y 0.873 0.500 0.624
Cu1 Cu 0.128 0.500 0.129
Cu2 Cu 0.245 0.000 0.496
Cu3 Cu 0.374 0.500 0.875
Cu4 Cu 0.499 0.000 0.254
Cu5 Cu 0.627 0.500 0.624
Cu6 Cu 0.749 0.000 0.996
Cu7 Cu 0.873 0.500 0.378
Cu8 Cu 0.994 0.000 0.746
Sn1 Sn 0.249 0.000 0.251
Sn2 Sn 0.624 0.500 0.376
Sn3 Sn 0.749 0.000 0.749
Sn4 Sn 0.998 0.000 0.499
Pb1 Pb 0.124 0.500 0.875
Pb2 Pb 0.373 0.500 0.624
Pb3 Pb 0.499 0.000 0.000
Pb4 Pb 0.874 0.500 0.125
# size of the total moment: 0.001 μB/f.u.
# uncorrected energy: -124.66 eV for the cell shown

=====

# PBE Ta3CuPb5, optimized geometry
data_Ta3CuPb5
_cell_length_a 5.7023
_cell_length_b 5.7023
_cell_length_c 8.8302
_cell_angle_alpha 90.00
_cell_angle_beta 90.00
_cell_angle_gamma 120.00
_symmetry_space_group_name_H-M 'P 6/m m m'
_symmetry_Int_Tables_number 191
_symmetry_space_group_name_Hall '-P 6 2'
loop_
_atom_site_label
_atom_site_type_symbol
_atom_site_fract_x
_atom_site_fract_y
_atom_site_fract_z
Ta1 Ta 0.0000 0.5000 0.0000
Cu1 Cu 0.0000 0.0000 0.5000
Pb1 Pb 0.0000 0.0000 0.0000
Pb2 Pb 0.3333 0.6667 0.3047
# size of the total moment: 0.433 μB/f.u.
# uncorrected energy: -52.59 eV for the cell shown

=====

# PBE TaCuPb2, optimized geometry
data_TaCuPb2
_cell_length_a 7.127
_cell_length_b 7.127
_cell_length_c 7.127
_cell_angle_alpha 90.00
_cell_angle_beta 90.00
_cell_angle_gamma 90.00
_symmetry_space_group_name_H-M 'F -4 3 m'
_symmetry_Int_Tables_number 216
_symmetry_space_group_name_Hall 'F -4 2 3'
loop_
_atom_site_label
_atom_site_type_symbol
_atom_site_fract_x
_atom_site_fract_y
_atom_site_fract_z
Ta1 Ta 0.000 0.000 0.000
Cu1 Cu 0.250 0.250 0.250
Pb1 Pb 0.000 0.000 0.500
Pb2 Pb 0.250 0.250 0.750
# size of the total moment: 1.716 μB/f.u.
# uncorrected energy: -77.33 eV for the cell shown

=====

# PBE TbCuPb, optimized geometry
data_TbCuPb
_cell_length_a 4.6278
_cell_length_b 4.6278
_cell_length_c 7.3914
_cell_angle_alpha 90.00
_cell_angle_beta 90.00
_cell_angle_gamma 120.00
_symmetry_space_group_name_H-M 'P 63 m c'
_symmetry_Int_Tables_number 186
_symmetry_space_group_name_Hall 'P 6c -2c'
loop_
_atom_site_label
_atom_site_type_symbol
_atom_site_fract_x
_atom_site_fract_y
_atom_site_fract_z
Tb1 Tb 0.0000 0.0000 0.0000
Cu1 Cu 0.3333 0.6667 0.3233
Pb1 Pb 0.3333 0.6667 0.7304
# size of the total moment: 0.000 μB/f.u.
# uncorrected energy: -26.53 eV for the cell shown

=====

# PBE TbCuTe3Pb, optimized geometry
data_TbCuTe3Pb
_cell_length_a 4.298
_cell_length_b 14.602
_cell_length_c 11.288
_cell_angle_alpha 90.00
_cell_angle_beta 90.00
_cell_angle_gamma 90.00
_symmetry_space_group_name_H-M 'C m c m'
_symmetry_Int_Tables_number 63
_symmetry_space_group_name_Hall '-C 2c 2'
loop_
_atom_site_label
_atom_site_type_symbol
_atom_site_fract_x
_atom_site_fract_y
_atom_site_fract_z
Tb1 Tb 0.000 0.000 0.000
Cu1 Cu 0.000 0.469 0.250
Te1 Te 0.000 0.082 0.250
Te2 Te 0.000 0.356 0.065
Pb1 Pb 0.000 0.238 0.750
# size of the total moment: 0.001 μB/f.u.
# uncorrected energy: -103.19 eV for the cell shown